## w
First-principles (PBE-GGA) data for a geometry-optimized BC2 structure, as listed in Alexandria.

Values from the calculation:
- Calculated volume: 20.8 Å³/f.u.

Cell lengths 2.505, 2.934, 3.077 Å; angles 99.13, 110.96, 91.91 degrees
Fractional coordinates of all 3 atoms:
B: 0.000 0.000 0.000
C: 0.152 0.528 0.269
C: 0.748 0.744 0.464



## x
First-principles (PBE-GGA) data for a geometry-optimized BC2 structure, as listed in Alexandria.

Values from the calculation:
- Calculated volume: 19.1 Å³/f.u.

Cell lengths 4.513, 2.562, 6.611 Å; angles 90.00, 91.36, 90.00 degrees
Fractional coordinates of all 12 atoms:
B: 0.000 0.000 0.000
B: 0.022 0.000 0.751
B: 0.411 0.000 0.111
B: 0.812 0.500 0.130
C: 0.190 0.500 0.432
C: 0.199 0.500 0.665
C: 0.353 0.000 0.354
C: 0.492 0.500 0.996
C: 0.513 0.500 0.762
C: 0.671 0.000 0.686
C: 0.686 0.000 0.450
C: 0.845 0.500 0.371



Verdict on stability: x comes out on top.



## w
First-principles (PBE-GGA) data for a geometry-optimized B2C structure, as listed in Alexandria.

Values from the calculation:
- Calculated volume: 20.3 Å³/f.u.

Cell lengths 3.440, 4.450, 5.610 Å; angles 107.63, 91.90, 96.98 degrees
Fractional coordinates of all 12 atoms:
B: 0.000 0.000 0.000
B: 0.000 0.188 0.552
B: 0.250 0.191 0.278
B: 0.348 0.718 0.156
B: 0.637 0.843 0.462
B: 0.682 0.441 0.316
B: 0.727 0.383 0.842
B: 0.919 0.599 0.640
C: 0.312 0.829 0.751
C: 0.377 0.127 0.703
C: 0.619 0.748 0.911
C: 0.988 0.401 0.100



## x
First-principles (PBE-GGA) data for a geometry-optimized B2C structure, as listed in Alexandria.

Values from the calculation:
- Calculated volume: 23.0 Å³/f.u.

Cell lengths 4.608, 2.726, 7.322 Å; angles 90.00, 90.51, 90.00 degrees
Fractional coordinates of all 12 atoms:
B: 0.000 0.000 0.000
B: 0.001 0.500 0.402
B: 0.072 0.000 0.778
B: 0.237 0.500 0.914
B: 0.262 0.500 0.682
B: 0.500 0.000 0.435
B: 0.587 0.500 0.821
B: 0.613 0.500 0.068
C: 0.329 0.500 0.465
C: 0.742 0.000 0.151
C: 0.744 0.000 0.800
C: 0.826 0.000 0.361



Verdict on stability: x comes out on top.